No. 1
Entry from the Alexandria database: a relaxed structure of Ac6HPb5 (PBE).

Properties
size of the total moment	0.000	μB per formula unit
DOS(E_F)	10.5	states/eV/cell
calculated volume	462	Å³ per cell
VASP energy	-50.72	eV/cell

Cell: 7.905 8.499 8.503 Å, 60.01 79.74 69.12°
Fractional positions:
Ac (0.751, 0.083, 0.324)
Ac (0.249, 0.593, 0.324)
Ac (0.242, 0.239, 0.000)
Ac (0.758, 0.761, 0.000)
Ac (0.751, 0.407, 0.676)
Ac (0.249, 0.917, 0.676)
H (0.000, 0.000, 0.000)
Pb (0.500, 0.169, 0.663)
Pb (0.000, 0.333, 0.333)
Pb (0.500, 0.500, 0.000)
Pb (0.000, 0.667, 0.667)
Pb (0.500, 0.831, 0.337)

No. 2
Entry from the Alexandria database: a relaxed structure of AcHPb3 (PBE).

Properties
size of the total moment	0.000	μB per formula unit
DOS(E_F)	1.2	states/eV/cell
calculated volume	133	Å³ per cell
VASP energy	-19.47	eV/cell

Cell: 5.102 5.102 5.102 Å, 90.00 90.00 90.00°
Fractional positions:
Pb (0.000, 0.500, 0.000)
Pb (0.000, 0.000, 0.500)
Pb (0.500, 0.000, 0.000)
H (0.000, 0.000, 0.000)
Ac (0.500, 0.500, 0.500)

No. 3
Entry from the Alexandria database: a relaxed structure of Ac3HPb2 (PBE).

Properties
ΔE to the lowest computed polymorph	92	meV per atom
size of the total moment	0.000	μB per formula unit
DOS(E_F)	8.8	states/eV/cell
calculated volume	401	Å³ per cell
VASP energy	-51.60	eV/cell

Cell: 6.936 9.458 7.217 Å, 103.17 118.72 90.00°
Fractional positions:
Ac (0.351, 0.250, 0.000)
Ac (0.649, 0.750, 0.000)
Ac (0.023, 0.155, 0.295)
Ac (0.728, 0.345, 0.705)
Ac (0.272, 0.655, 0.295)
Ac (0.977, 0.845, 0.705)
H (0.994, 0.750, 0.000)
H (0.006, 0.250, 0.000)
Pb (0.779, 0.505, 0.294)
Pb (0.515, 0.005, 0.294)
Pb (0.485, 0.995, 0.706)
Pb (0.221, 0.495, 0.706)

No. 4
Entry from the Alexandria database: a relaxed structure of Ac6HPb3 (PBE).

Properties
size of the total moment	0.000	μB per formula unit
DOS(E_F)	18.5	states/eV/cell
calculated volume	722	Å³ per cell
VASP energy	-85.31	eV/cell

Cell: 6.934 10.266 10.266 Å, 98.67 90.00 90.00°
Fractional positions:
Ac (0.160, 0.769, 0.677)
Ac (0.660, 0.677, 0.769)
Ac (0.221, 0.470, 0.883)
Ac (0.721, 0.883, 0.470)
Ac (0.004, 0.093, 0.907)
Ac (0.732, 0.302, 0.698)
Ac (0.232, 0.698, 0.302)
Ac (0.504, 0.907, 0.093)
Ac (0.221, 0.117, 0.530)
Ac (0.721, 0.530, 0.117)
Ac (0.160, 0.323, 0.231)
Ac (0.660, 0.231, 0.323)
H (0.081, 0.255, 0.745)
H (0.581, 0.745, 0.255)
Pb (0.508, 0.000, 0.769)
Pb (0.008, 0.769, 0.000)
Pb (0.391, 0.476, 0.524)
Pb (0.891, 0.524, 0.476)
Pb (0.008, 0.000, 0.231)
Pb (0.508, 0.231, 0.000)

No. 5
Entry from the Alexandria database: a relaxed structure of Ac2HPb4 (PBE).

Properties
size of the total moment	0.000	μB per formula unit
DOS(E_F)	3.2	states/eV/cell
calculated volume	213	Å³ per cell
VASP energy	-28.11	eV/cell

Cell: 5.112 5.112 8.924 Å, 106.64 106.64 90.00°
Fractional positions:
Pb (0.857, 0.857, 0.714)
Pb (0.143, 0.143, 0.286)
Pb (0.000, 0.500, 0.000)
Pb (0.500, 0.000, 0.000)
H (0.000, 0.000, 0.000)
Ac (0.649, 0.649, 0.298)
Ac (0.351, 0.351, 0.702)

No. 6
Entry from the Alexandria database: a relaxed structure of Ac2HPd6Pb (PBE).

Properties
size of the total moment	0.000	μB per formula unit
DOS(E_F)	6.5	states/eV/cell
calculated volume	202	Å³ per cell
VASP energy	-52.27	eV/cell

Cell: 5.979 7.425 5.966 Å, 65.82 59.93 90.00°
Fractional positions:
Ac (0.764, 0.287, 0.472)
Ac (0.236, 0.713, 0.528)
H (0.000, 0.000, 0.000)
Pd (0.221, 0.170, 0.557)
Pd (0.777, 0.824, 0.958)
Pd (0.266, 0.825, 0.957)
Pd (0.734, 0.175, 0.043)
Pd (0.223, 0.176, 0.042)
Pd (0.779, 0.830, 0.443)
Pb (0.500, 0.500, 0.000)

Copy entry 6 word for word.
Entry from the Alexandria database: a relaxed structure of Ac2HPd6Pb (PBE).

Properties
size of the total moment	0.000	μB per formula unit
DOS(E_F)	6.5	states/eV/cell
calculated volume	202	Å³ per cell
VASP energy	-52.27	eV/cell

Cell: 5.979 7.425 5.966 Å, 65.82 59.93 90.00°
Fractional positions:
Ac (0.764, 0.287, 0.472)
Ac (0.236, 0.713, 0.528)
H (0.000, 0.000, 0.000)
Pd (0.221, 0.170, 0.557)
Pd (0.777, 0.824, 0.958)
Pd (0.266, 0.825, 0.957)
Pd (0.734, 0.175, 0.043)
Pd (0.223, 0.176, 0.042)
Pd (0.779, 0.830, 0.443)
Pb (0.500, 0.500, 0.000)